Entry 1:
# Cd2SiNiB

Cd2SiNiB at its PBEsol-relaxed geometry (SCAN, the Alexandria database).

Cell and atoms, written as CIF:
```
data_Cd2SiNiB
_space_group_name_H-M_alt 'P 4/m m m'
_space_group_IT_number 123
_space_group_name_Hall '-P 4 2'
_cell_length_a 4.866
_cell_length_b 4.866
_cell_length_c 3.723
_cell_angle_alpha 90.00
_cell_angle_beta 90.00
_cell_angle_gamma 90.00
loop_
_atom_site_label
_atom_site_type_symbol
_atom_site_fract_x
_atom_site_fract_y
_atom_site_fract_z
_atom_site_occupancy
Cd1 Cd 0.000 0.500 0.000 1
Si1 Si 0.000 0.000 0.500 1
Ni1 Ni 0.500 0.500 0.000 1
B1 B 0.500 0.500 0.500 1
```

## Properties
V: 88 Å³/cell
Formation energy from raw total energies: 749 meV per atom
Uncorrected energy: -18.14 eV/atom

Entry 2:
# YRe3I

YRe3I at its PBEsol-relaxed geometry (SCAN, the Alexandria database).

Cell and atoms, written as CIF:
```
data_YRe3I
_space_group_name_H-M_alt 'P m -3 m'
_space_group_IT_number 221
_space_group_name_Hall '-P 4 2 3'
_cell_length_a 4.811
_cell_length_b 4.811
_cell_length_c 4.811
_cell_angle_alpha 90.00
_cell_angle_beta 90.00
_cell_angle_gamma 90.00
loop_
_atom_site_label
_atom_site_type_symbol
_atom_site_fract_x
_atom_site_fract_y
_atom_site_fract_z
_atom_site_occupancy
Y1 Y 0.000 0.000 0.000 1
Re1 Re 0.000 0.000 0.500 1
I1 I 0.500 0.500 0.500 1
```

## Properties
V: 111 Å³/cell
Formation energy from raw total energies: 3505 meV per atom
Uncorrected energy: -52.07 eV/atom